Computed, not measured: a geometry-optimized CuBi2Pb structure at the GGA-PBE level of DFT.

Lattice parameters (Å, degrees): 3.3641 3.3641 9.5319 90.00 90.00 90.00
Fractional coordinates of all 4 atoms:
Cu 0.0000 0.0000 0.0000
Bi 0.5000 0.5000 0.1948
Bi 0.5000 0.5000 0.8052
Pb 0.0000 0.0000 0.5000

- SG: P4/mmm
- Calculated density: 10.60 g/cm3
- Electronic total energy: -3.72 eV per atom